## PbWO2 (GGA+U)

Data for crystalline PbWO2 at its relaxed geometry.

total energy: -0.21857 hartree per atom
energy above the lowest structure with this stoichiometry: 548 meV per atom
total moment: 0.763 μB/atom

```
data_PbWO2
_symmetry_space_group_name_H-M 'I 41/a m d'
_symmetry_Int_Tables_number 141
_cell_length_a 6.5517
_cell_length_b 6.5517
_cell_length_c 12.7074
_cell_angle_alpha 90.00
_cell_angle_beta 90.00
_cell_angle_gamma 90.00
loop_
_symmetry_equiv_pos_as_xyz
'x,y,z'
'-x,-y,-z'
'-y+1/4,x+3/4,z+1/4'
'y+1/4,-x+3/4,-z+1/4'
'-x+1/2,-y,z+1/2'
'x+1/2,y,-z+1/2'
'y+1/4,-x+1/4,z+3/4'
'-y+1/4,x+1/4,-z+3/4'
'x,-y,-z'
'-x,y,z'
'-y+1/4,-x+1/4,-z+3/4'
'y+1/4,x+1/4,z+3/4'
'-x+1/2,y,-z+1/2'
'x+1/2,-y,z+1/2'
'y+1/4,x+3/4,-z+1/4'
'-y+1/4,-x+3/4,z+1/4'
'x+1/2,y+1/2,z+1/2'
'-x+1/2,-y+1/2,-z+1/2'
'-y+3/4,x+1/4,z+3/4'
'y+3/4,-x+1/4,-z+3/4'
'-x,-y+1/2,z'
'x,y+1/2,-z'
'y+3/4,-x+3/4,z+1/4'
'-y+3/4,x+3/4,-z+1/4'
'x+1/2,-y+1/2,-z+1/2'
'-x+1/2,y+1/2,z+1/2'
'-y+3/4,-x+3/4,-z+1/4'
'y+3/4,x+3/4,z+1/4'
'-x,y+1/2,-z'
'x,-y+1/2,z'
'y+3/4,x+1/4,-z+3/4'
'-y+3/4,-x+1/4,z+3/4'
loop_
_atom_site_label
_atom_site_type_symbol
_atom_site_fract_x
_atom_site_fract_y
_atom_site_fract_z
_atom_site_occupancy
Pb1 Pb 0.0000 0.0000 0.0000 1
W1 W 0.0000 0.0000 0.5000 1
O1 O 0.0000 0.0501 0.2001 1
```